Compound: KHgF3
Source: the Alexandria database
Functional: SCAN
Structure: single point on PBEsol structure

Calculated values
V = 19.2 A^3/atom
Uncorrected formation energy = -2065 meV/atom
Total magnetization = 0.00 μB per cell

Lattice parameters (Å, degrees): 4.179 4.179 12.717 90.00 90.00 120.00
Fractional positions:
K (0.000, 0.000, 0.000)
K (0.000, 0.000, 0.500)
Hg (0.333, 0.667, 0.250)
Hg (0.667, 0.333, 0.750)
F (0.000, 0.000, 0.250)
F (0.000, 0.000, 0.750)
F (0.333, 0.667, 0.086)
F (0.333, 0.667, 0.414)
F (0.667, 0.333, 0.586)
F (0.667, 0.333, 0.914)